! PBE+U MoBr2F, optimized geometry; values from VASP
! Calculated total energy   -3.515 eV/atom
! Relative energy among the computed polymorphs   514 meV/atom
! Size of the total moment   0.75 μB per atom
! Space-group type   No. 166
&SYSTEM
  ibrav = 0, nat = 4, ntyp = 3
/
ATOMIC_SPECIES
Mo 95.94 Mo.upf
Br 79.90 Br.upf
F 19.00 F.upf
CELL_PARAMETERS angstrom
2.232 0.000 7.893
-1.116 1.933 7.893
-1.116 -1.933 7.893
ATOMIC_POSITIONS crystal
Mo 0.500 0.500 0.500
Br 0.899 0.899 0.899
Br 0.101 0.101 0.101
F 0.000 0.000 0.000